The following is a PBE+U calculation of a relaxed Cr4Cu3PbO12 crystal, from Alexandria via LeMat-Bulk.

abc: 6.4444 6.4444 6.4444
angles: 109.47 109.47 109.47
Last column: magnetic moment on the atom in μB.
Element x y z (fractional)
Cr (0.5000, 0.0000, 0.0000)  2.87
Cr (0.5000, 0.5000, 0.5000)  2.87
Cr (0.0000, 0.5000, 0.0000)  2.87
Cr (0.0000, 0.0000, 0.5000)  2.87
Cu (0.0000, 0.5000, 0.5000)  0.04
Cu (0.5000, 0.5000, 0.0000)  0.04
Cu (0.5000, 0.0000, 0.5000)  0.04
Pb (0.0000, 0.0000, 0.0000)  -0.15
O (0.3141, 0.8286, 0.1427)  -0.06
O (0.6859, 0.1714, 0.8573)  -0.06
O (0.6859, 0.8286, 0.5145)  -0.06
O (0.8573, 0.6859, 0.1714)  -0.06
O (0.8286, 0.1427, 0.3141)  -0.06
O (0.1714, 0.4855, 0.3141)  -0.06
O (0.4855, 0.3141, 0.1714)  -0.06
O (0.1714, 0.8573, 0.6859)  -0.06
O (0.3141, 0.1714, 0.4855)  -0.06
O (0.1427, 0.3141, 0.8286)  -0.06
O (0.8286, 0.5145, 0.6859)  -0.06
O (0.5145, 0.6859, 0.8286)  -0.06

Values from the calculation:
The value obtained for the total energy is -6.54 eV/atom. As for the space group: Im-3 (204).